First-principles (PBE) data for a geometry-optimized AgSb2Os structure, as listed in the Alexandria database.

```
data_AgSb2Os
_cell_length_a 6.3021
_cell_length_b 6.3021
_cell_length_c 7.3380
_cell_angle_alpha 64.57
_cell_angle_beta 64.57
_cell_angle_gamma 90.00
_symmetry_space_group_name_H-M 'P 1'
_symmetry_Int_Tables_number 1
loop_
_symmetry_equiv_pos_as_xyz
'x,y,z'
loop_
_atom_site_label
_atom_site_type_symbol
_atom_site_fract_x
_atom_site_fract_y
_atom_site_fract_z
Os1 Os 0.7500 0.2500 0.5000
Os2 Os 0.0000 0.0000 0.0000
Ag1 Ag 0.2500 0.7500 0.5000
Ag2 Ag 0.5000 0.5000 0.0000
Sb1 Sb 0.0907 0.6250 0.2500
Sb2 Sb 0.3750 0.3407 0.7500
Sb3 Sb 0.8750 0.9093 0.7500
Sb4 Sb 0.6593 0.1250 0.2500
```

Summary:
**Energy above the lowest structure with this stoichiometry**: 219.4 meV per atom
**V**: 231.55 Å³ per cell
**Uncorrected formation energy**: 0.54 eV/atom

=====

First-principles (PBE) data for a geometry-optimized ZnAg2Sn2 structure, as listed in the Alexandria database.

```
data_ZnAg2Sn2
_cell_length_a 8.0921
_cell_length_b 8.0921
_cell_length_c 3.5044
_cell_angle_alpha 90.00
_cell_angle_beta 90.00
_cell_angle_gamma 90.00
_symmetry_space_group_name_H-M 'P 1'
_symmetry_Int_Tables_number 1
loop_
_symmetry_equiv_pos_as_xyz
'x,y,z'
loop_
_atom_site_label
_atom_site_type_symbol
_atom_site_fract_x
_atom_site_fract_y
_atom_site_fract_z
Ag1 Ag 0.6222 0.8778 0.5000
Ag2 Ag 0.8778 0.3778 0.5000
Ag3 Ag 0.3778 0.1222 0.5000
Ag4 Ag 0.1222 0.6222 0.5000
Zn1 Zn 0.0000 0.0000 0.0000
Zn2 Zn 0.5000 0.5000 0.0000
Sn1 Sn 0.6794 0.1794 0.0000
Sn2 Sn 0.1794 0.3206 0.0000
Sn3 Sn 0.3206 0.8206 0.0000
Sn4 Sn 0.8206 0.6794 0.0000
```

Summary:
**Energy above the lowest structure with this stoichiometry**: 61.3 meV per atom
**V**: 229.48 Å³ per cell

=====

First-principles (PBE) data for a geometry-optimized VFe2Pt9 structure, as listed in the Alexandria database.

```
data_VFe2Pt9
_cell_length_a 3.9175
_cell_length_b 3.9175
_cell_length_c 11.7487
_cell_angle_alpha 90.00
_cell_angle_beta 90.00
_cell_angle_gamma 90.00
_symmetry_space_group_name_H-M 'P 1'
_symmetry_Int_Tables_number 1
loop_
_symmetry_equiv_pos_as_xyz
'x,y,z'
loop_
_atom_site_label
_atom_site_type_symbol
_atom_site_fract_x
_atom_site_fract_y
_atom_site_fract_z
Pt1 Pt 0.5000 0.5000 0.0000
Pt2 Pt 0.5000 0.5000 0.3331
Pt3 Pt 0.0000 0.5000 0.1650
Pt4 Pt 0.5000 0.5000 0.6669
Pt5 Pt 0.5000 0.0000 0.1650
Pt6 Pt 0.0000 0.5000 0.8350
Pt7 Pt 0.5000 0.0000 0.8350
Pt8 Pt 0.0000 0.5000 0.5000
Pt9 Pt 0.5000 0.0000 0.5000
V1 V 0.0000 0.0000 0.0000
Fe1 Fe 0.0000 0.0000 0.6647
Fe2 Fe 0.0000 0.0000 0.3353
```

Summary:
**Uncorrected energy**: -7.004 eV/atom
**V**: 180.30 Å³ per cell

=====

First-principles (PBE) data for a geometry-optimized MgCoN3 structure, as listed in the Alexandria database.

```
data_MgCoN3
_cell_length_a 3.6684
_cell_length_b 3.6684
_cell_length_c 3.6684
_cell_angle_alpha 90.00
_cell_angle_beta 90.00
_cell_angle_gamma 90.00
_symmetry_space_group_name_H-M 'P 1'
_symmetry_Int_Tables_number 1
loop_
_symmetry_equiv_pos_as_xyz
'x,y,z'
loop_
_atom_site_label
_atom_site_type_symbol
_atom_site_fract_x
_atom_site_fract_y
_atom_site_fract_z
N1 N 0.0000 0.0000 0.5000
N2 N 0.0000 0.5000 0.0000
N3 N 0.5000 0.0000 0.0000
Co1 Co 0.0000 0.0000 0.0000
Mg1 Mg 0.5000 0.5000 0.5000
```

Summary:
**V**: 49.37 Å³ per cell
**Uncorrected formation energy**: 1.01 eV/atom

=====

First-principles (PBE) data for a geometry-optimized CsZnF3 structure, as listed in the Alexandria database.

```
data_CsZnF3
_cell_length_a 19.7365
_cell_length_b 5.8505
_cell_length_c 8.5164
_cell_angle_alpha 90.00
_cell_angle_beta 155.09
_cell_angle_gamma 90.00
_symmetry_space_group_name_H-M 'P 1'
_symmetry_Int_Tables_number 1
loop_
_symmetry_equiv_pos_as_xyz
'x,y,z'
loop_
_atom_site_label
_atom_site_type_symbol
_atom_site_fract_x
_atom_site_fract_y
_atom_site_fract_z
Cs1 Cs 0.3997 0.7500 0.4768
Cs2 Cs 0.1003 0.2500 0.0232
Cs3 Cs 0.8997 0.7500 0.9768
Cs4 Cs 0.6003 0.2500 0.5232
F1 F 0.2500 0.0000 0.7500
F2 F 0.5458 0.7500 0.1811
F3 F 0.4542 0.2500 0.8189
F4 F 0.7500 0.5000 0.2500
F5 F 0.6678 0.7500 0.7778
F6 F 0.3322 0.2500 0.2222
F7 F 0.9542 0.2500 0.3189
F8 F 0.2500 0.5000 0.7500
F9 F 0.7500 0.0000 0.2500
F10 F 0.0458 0.7500 0.6811
F11 F 0.1678 0.7500 0.2778
F12 F 0.8322 0.2500 0.7222
Zn1 Zn 0.8275 0.7500 0.2745
Zn2 Zn 0.3275 0.7500 0.7745
Zn3 Zn 0.6725 0.2500 0.2255
Zn4 Zn 0.1725 0.2500 0.7255
```

Summary:
**V**: 414.26 Å³ per cell
**Uncorrected formation energy**: -2.48 eV/atom

=====

First-principles (PBE) data for a geometry-optimized Ni2AsIr structure, as listed in the Alexandria database.

```
data_Ni2AsIr
_cell_length_a 8.0332
_cell_length_b 8.0332
_cell_length_c 8.0332
_cell_angle_alpha 19.93
_cell_angle_beta 19.93
_cell_angle_gamma 19.93
_symmetry_space_group_name_H-M 'P 1'
_symmetry_Int_Tables_number 1
loop_
_symmetry_equiv_pos_as_xyz
'x,y,z'
loop_
_atom_site_label
_atom_site_type_symbol
_atom_site_fract_x
_atom_site_fract_y
_atom_site_fract_z
Ni1 Ni 0.5051 0.5051 0.5051
Ni2 Ni 0.9949 0.9949 0.9949
Ir1 Ir 0.7500 0.7500 0.7500
As1 As 0.2500 0.2500 0.2500
```

Summary:
**Uncorrected energy**: -6.188 eV/atom
**V**: 52.71 Å³ per cell

=====

What is the formula in the fifth record?
CsZnF3

=====

Which of these has the highest V?
CsZnF3

=====

Which formula does entry 1 have?
AgSb2Os